(1)
# PBE TlTe2Cl, optimized geometry
data_TlTe2Cl
_cell_length_a 4.311
_cell_length_b 4.311
_cell_length_c 7.773
_cell_angle_alpha 90.00
_cell_angle_beta 90.00
_cell_angle_gamma 90.00
_symmetry_space_group_name_H-M 'P 1'
_symmetry_Int_Tables_number 1
_symmetry_space_group_name_Hall 'P 1'
loop_
_atom_site_label
_atom_site_type_symbol
_atom_site_fract_x
_atom_site_fract_y
_atom_site_fract_z
Tl1 Tl 0.000 0.000 0.000
Te1 Te 0.000 0.500 0.500
Te2 Te 0.500 0.000 0.500
Cl1 Cl 0.500 0.500 0.000
# Energy relative to the elements, uncorrected   -35 kJ per mole of atoms
# Excess energy over the best structure of this formula in the dataset   40.2 meV/atom
# SG   P4/mmm (123)



(2)
# PBE PmDy2Ga, optimized geometry
data_PmDy2Ga
_cell_length_a 3.536
_cell_length_b 3.536
_cell_length_c 8.963
_cell_angle_alpha 90.00
_cell_angle_beta 90.00
_cell_angle_gamma 90.00
_symmetry_space_group_name_H-M 'P 1'
_symmetry_Int_Tables_number 1
_symmetry_space_group_name_Hall 'P 1'
loop_
_atom_site_label
_atom_site_type_symbol
_atom_site_fract_x
_atom_site_fract_y
_atom_site_fract_z
Pm1 Pm 0.000 0.000 0.000
Dy1 Dy 0.500 0.500 0.294
Dy2 Dy 0.500 0.500 0.706
Ga1 Ga 0.000 0.000 0.500
# Excess energy over the best structure of this formula in the dataset   0.0 meV/atom
# SG   P4/mmm (123)
# Energy of formation from the pure elements   -283.8 meV per atom



(3)
# PBE Sm6Tl2SbTe3, optimized geometry
data_Sm6Tl2SbTe3
_cell_length_a 10.104
_cell_length_b 10.104
_cell_length_c 9.135
_cell_angle_alpha 106.00
_cell_angle_beta 106.00
_cell_angle_gamma 24.98
_symmetry_space_group_name_H-M 'P 1'
_symmetry_Int_Tables_number 1
_symmetry_space_group_name_Hall 'P 1'
loop_
_atom_site_label
_atom_site_type_symbol
_atom_site_fract_x
_atom_site_fract_y
_atom_site_fract_z
Sm1 Sm 0.003 0.003 0.246
Sm2 Sm 0.335 0.335 0.910
Sm3 Sm 0.336 0.336 0.408
Sm4 Sm 0.664 0.664 0.592
Sm5 Sm 0.665 0.665 0.090
Sm6 Sm 0.997 0.997 0.754
Tl1 Tl 0.170 0.170 0.346
Tl2 Tl 0.830 0.830 0.654
Sb1 Sb 0.500 0.500 0.000
Te1 Te 0.164 0.164 0.841
Te2 Te 0.500 0.500 0.500
Te3 Te 0.836 0.836 0.159
# Energy relative to the elements, uncorrected   -98 kJ per mole of atoms
# SG   C2/m (12)



(4)
# PBE SrLaSe2, optimized geometry
data_SrLaSe2
_cell_length_a 4.341
_cell_length_b 4.341
_cell_length_c 21.716
_cell_angle_alpha 90.00
_cell_angle_beta 90.00
_cell_angle_gamma 120.00
_symmetry_space_group_name_H-M 'P 1'
_symmetry_Int_Tables_number 1
_symmetry_space_group_name_Hall 'P 1'
loop_
_atom_site_label
_atom_site_type_symbol
_atom_site_fract_x
_atom_site_fract_y
_atom_site_fract_z
Sr1 Sr 0.000 0.000 0.000
Sr2 Sr 0.333 0.667 0.667
Sr3 Sr 0.667 0.333 0.333
La1 La 0.000 0.000 0.500
La2 La 0.333 0.667 0.167
La3 La 0.667 0.333 0.833
Se1 Se 0.000 0.000 0.249
Se2 Se 0.000 0.000 0.751
Se3 Se 0.333 0.667 0.418
Se4 Se 0.333 0.667 0.915
Se5 Se 0.667 0.333 0.085
Se6 Se 0.667 0.333 0.582
# Energy relative to the elements, uncorrected   -192 kJ per mole of atoms
# Excess energy over the best structure of this formula in the dataset   10.9 meV/atom
# SG   R-3m (166)



(5)
# PBE Sr2Ca3Mg4, optimized geometry
data_Sr2Ca3Mg4
_cell_length_a 5.829
_cell_length_b 5.829
_cell_length_c 10.730
_cell_angle_alpha 90.09
_cell_angle_beta 90.09
_cell_angle_gamma 59.92
_symmetry_space_group_name_H-M 'P 1'
_symmetry_Int_Tables_number 1
_symmetry_space_group_name_Hall 'P 1'
loop_
_atom_site_label
_atom_site_type_symbol
_atom_site_fract_x
_atom_site_fract_y
_atom_site_fract_z
Sr1 Sr 0.168 0.168 0.215
Sr2 Sr 0.832 0.832 0.785
Ca1 Ca 0.166 0.166 0.577
Ca2 Ca 0.500 0.500 0.000
Ca3 Ca 0.834 0.834 0.423
Mg1 Mg 0.166 0.166 0.897
Mg2 Mg 0.498 0.498 0.647
Mg3 Mg 0.502 0.502 0.353
Mg4 Mg 0.834 0.834 0.103
# SG   C2/m (12)
# Energy of formation from the pure elements   -37.0 meV per atom



(6)
# PBE BaYAs2Pd2, optimized geometry
data_BaYAs2Pd2
_cell_length_a 4.360
_cell_length_b 4.360
_cell_length_c 8.561
_cell_angle_alpha 90.00
_cell_angle_beta 90.00
_cell_angle_gamma 120.00
_symmetry_space_group_name_H-M 'P 1'
_symmetry_Int_Tables_number 1
_symmetry_space_group_name_Hall 'P 1'
loop_
_atom_site_label
_atom_site_type_symbol
_atom_site_fract_x
_atom_site_fract_y
_atom_site_fract_z
Ba1 Ba 0.000 0.000 0.000
Y1 Y 0.000 0.000 0.500
As1 As 0.333 0.667 0.281
As2 As 0.667 0.333 0.719
Pd1 Pd 0.333 0.667 0.714
Pd2 Pd 0.667 0.333 0.286
# SG   P-3m1 (164)
# Energy of formation from the pure elements   -1075.3 meV per atom



| no. | mass density (Mg/m³) | raw total energy (eV/atom) | magnetization (μB per cell) |
| --- | --- | --- | --- |
| 1 | 5.7 | -2.985 | 0.000 |
| 2 | 8.0 | -4.529 | 0.000 |
| 3 | 8.0 | -4.897 | 0.000 |
| 4 | 5.4 | -5.384 | 0.000 |
| 5 | 2.1 | -1.787 | 0.000 |
| 6 | 6.9 | -5.754 | 0.000 |